DFT (PBE) results for a relaxed InSn2Bi2 crystal.

Properties
As for the volume: 31.6 Å³/atom. The calculation puts the formation energy from the elements at 0.6 eV per formula unit. The total DFT energy (no corrections) comes out at -3.577 eV per atom. The crystal system is tetragonal. The value obtained for the polymorph energy (0 for the lowest one) is 0.0554 eV per atom. For the density of states at the Fermi level, the calculation gives 2.9 states/eV per cell.

abc: 9.0175 9.0175 9.0175
angles: 152.34 152.34 39.52
Last column: nearest neighbours and their distance in Å.
Fractional positions:
In (0.0000, 0.0000, 0.0000)  8 Bi 3.45
Sn (0.2500, 0.7500, 0.5000)  4 Sn 3.05, 4 Bi 3.40
Sn (0.7500, 0.2500, 0.5000)  4 Sn 3.05, 4 Bi 3.40
Bi (0.4051, 0.4051, 0.0000)  1 Bi 3.22, 4 Sn 3.40, 4 In 3.45
Bi (0.5949, 0.5949, 0.0000)  1 Bi 3.22, 4 Sn 3.40, 4 In 3.45